LiZn2Rh | Alexandria via LeMat-Bulk | PBE | optimized geometry; energy relative to the lowest polymorph listed for this composition = 0.306 eV/atom; ρ = 6.92 Mg/m³; total moment = 0.0 μB per formula unit
1.0
2.700 -0.025 0.000
-1.149 2.444 0.000
0.000 0.000 8.791
Rh Zn Li
1 2 1
Direct
0.500 0.500 0.749
0.500 0.500 0.251
0.000 0.000 0.989
0.000 0.000 0.510